Below is ZrBeB2Rh at its PBEsol-relaxed geometry, with properties calculated at the SCAN level.

The structure in CIF format:
```
data_ZrBeB2Rh
_space_group_name_H-M_alt 'P 4/m m m'
_space_group_IT_number 123
_space_group_name_Hall '-P 4 2'
_cell_length_a 3.975
_cell_length_b 3.975
_cell_length_c 5.001
_cell_angle_alpha 90.00
_cell_angle_beta 90.00
_cell_angle_gamma 90.00
loop_
_atom_site_label
_atom_site_type_symbol
_atom_site_fract_x
_atom_site_fract_y
_atom_site_fract_z
Zr1 Zr 0.000 0.000 0.000
Be1 Be 0.500 0.500 0.000
B1 B 0.000 0.500 0.500
Rh1 Rh 0.000 0.000 0.500
```

Results
D(E_F) ... 3.32 states/eV/cell
VASP energy ... -79.68 eV for the cell shown

---

Below is Na2MnRu at its PBEsol-relaxed geometry, with properties calculated at the SCAN level.

The structure in CIF format:
```
data_Na2MnRu
_space_group_name_H-M_alt 'F m -3 m'
_space_group_IT_number 225
_space_group_name_Hall '-F 4 2 3'
_cell_length_a 6.606
_cell_length_b 6.606
_cell_length_c 6.606
_cell_angle_alpha 90.00
_cell_angle_beta 90.00
_cell_angle_gamma 90.00
loop_
_atom_site_label
_atom_site_type_symbol
_atom_site_fract_x
_atom_site_fract_y
_atom_site_fract_z
Na1 Na 0.250 0.250 0.250
Mn1 Mn 0.000 0.000 0.000
Ru1 Ru 0.000 0.000 0.500
```

Results
D(E_F) ... 15.01 states/eV/cell
VASP energy ... -230.12 eV for the cell shown